This record from Alexandria describes a geometry-optimized CsSeBr3 structure. The functional is PBE.

Structure (POSCAR):
```
CsSeBr3
1.0
6.1045 0.0000 0.0000
1.1073 7.9566 0.0000
0.0786 2.4101 9.1206
Cs Se Br
2 2 6
direct
0.0000 0.0000 0.0000
0.4816 0.7167 0.5395
0.0341 0.2826 0.4729
0.4065 0.2146 0.5162
0.9998 0.6194 0.3442
0.4487 0.2675 0.7638
0.4972 0.1137 0.2216
0.5251 0.4368 0.0735
0.5452 0.7442 0.9302
0.9384 0.9662 0.6109
```

Values from the calculation:
**Crystal system**: triclinic
**Energy relative to the elements, uncorrected**: -3.87 eV per formula unit
**Theoretical density**: 3.4 g/cm³



This record from Alexandria describes a geometry-optimized Tl2V2Tc structure. The functional is PBE.

Structure (POSCAR):
```
Tl2V2Tc
1.0
7.9422 0.0000 0.0000
0.0000 7.9422 0.0000
0.0000 0.0000 2.9026
Tl V Tc
4 4 2
direct
0.1883 0.3117 0.0000
0.3117 0.8117 0.0000
0.6883 0.1883 0.0000
0.8117 0.6883 0.0000
0.1046 0.6046 0.5000
0.3954 0.1046 0.5000
0.6046 0.8954 0.5000
0.8954 0.3954 0.5000
0.0000 0.0000 0.0000
0.5000 0.5000 0.0000
```

Values from the calculation:
**Crystal system**: tetragonal
**Energy above the most stable polymorph in this dataset**: 0.08 eV/f.u.
**Theoretical density**: 11.0 g/cm³
**Energy of formation**: 82 kJ/mol of atoms



This record from Alexandria describes a geometry-optimized Tm4TePd2 structure. The functional is PBE.

Structure (POSCAR):
```
Tm4TePd2
1.0
5.9462 -6.0872 0.0000
5.9462 6.0872 0.0000
-5.9170 0.0000 6.0462
Tm Te Pd
8 2 4
direct
0.1935 0.2344 0.4617
0.2275 0.7678 0.9616
0.2322 0.7725 0.5384
0.2344 0.1935 0.9617
0.7656 0.8065 0.0383
0.7678 0.2275 0.4616
0.7725 0.2322 0.0384
0.8065 0.7656 0.5383
0.3759 0.6241 0.2500
0.6241 0.3759 0.7500
0.0000 0.0000 0.0000
0.0000 0.0000 0.5000
0.0000 0.5000 0.5000
0.5000 0.0000 0.0000
```

Values from the calculation:
**Crystal system**: monoclinic
**Energy relative to the elements, uncorrected**: -4.96 eV per formula unit
**Theoretical density**: 7.7 g/cm³



This record from Alexandria describes a geometry-optimized Cs2WAuS4 structure. The functional is PBE.

Structure (POSCAR):
```
Cs2WAuS4
1.0
0.0000 7.3497 12.3226
2.8912 0.0000 12.3226
2.8912 7.3497 0.0000
Cs W Au S
4 2 2 8
direct
0.0522 0.0522 0.6978
0.3022 0.3022 0.9478
0.6978 0.6978 0.0522
0.9478 0.9478 0.3022
0.3750 0.3750 0.3750
0.6250 0.6250 0.6250
0.1250 0.1250 0.1250
0.8750 0.8750 0.8750
0.0131 0.6281 0.5499
0.3089 0.5499 0.6281
0.3719 0.9869 0.6911
0.4501 0.6911 0.9869
0.5499 0.3089 0.0131
0.6281 0.0131 0.3089
0.6911 0.4501 0.3719
0.9869 0.3719 0.4501
```

Values from the calculation:
**Crystal system**: orthorhombic
**Energy relative to the elements, uncorrected**: -5.82 eV per formula unit
**Theoretical density**: 4.9 g/cm³



This record from Alexandria describes a geometry-optimized NiP2 structure. The functional is PBE.

Structure (POSCAR):
```
NiP2
1.0
2.5430 0.0000 0.0000
0.0000 15.6504 0.0000
0.0000 0.0000 4.5521
Ni P
4 8
direct
0.0000 0.2267 0.2500
0.0000 0.7733 0.7500
0.5000 0.2733 0.7500
0.5000 0.7267 0.2500
0.0000 0.1473 0.7500
0.0000 0.3973 0.7500
0.0000 0.6027 0.2500
0.0000 0.8527 0.2500
0.5000 0.1027 0.2500
0.5000 0.3527 0.2500
0.5000 0.6473 0.7500
0.5000 0.8973 0.7500
```

Values from the calculation:
**Crystal system**: orthorhombic
**Theoretical density**: 4.4 g/cm³
**Energy of formation**: 12 kJ/mol of atoms



This record from Alexandria describes a geometry-optimized LaSc2CrNi structure. The functional is PBE.

Structure (POSCAR):
```
LaSc2CrNi
1.0
4.7834 0.0000 0.0000
0.0000 4.7834 0.0000
0.0000 0.0000 5.1496
La Sc Cr Ni
1 2 1 1
direct
0.0000 0.0000 0.0000
0.0000 0.5000 0.5000
0.5000 0.0000 0.5000
0.0000 0.0000 0.5000
0.5000 0.5000 0.0000
```

Values from the calculation:
**Crystal system**: tetragonal
**Theoretical density**: 4.8 g/cm³
**Energy of formation**: 57 kJ/mol of atoms



This record from Alexandria describes a geometry-optimized CoAg2SnB structure. The functional is PBE.

Structure (POSCAR):
```
CoAg2SnB
1.0
5.2633 0.0000 0.0000
0.0000 5.2633 0.0000
0.0000 0.0000 4.1761
Co Ag Sn B
1 2 1 1
direct
0.0000 0.0000 0.0000
0.0000 0.5000 0.5000
0.5000 0.0000 0.5000
0.5000 0.5000 0.5000
0.5000 0.5000 0.0000
```

Values from the calculation:
**Crystal system**: tetragonal
**Theoretical density**: 5.8 g/cm³
**Energy of formation**: 150 kJ/mol of atoms



This record from Alexandria describes a geometry-optimized MnReB3 structure. The functional is PBE.

Structure (POSCAR):
```
MnReB3
1.0
3.6782 0.0000 0.0000
0.0000 3.6782 0.0000
0.0000 0.0000 3.6782
Mn Re B
1 1 3
direct
0.0000 0.0000 0.0000
0.5000 0.5000 0.5000
0.0000 0.0000 0.5000
0.0000 0.5000 0.0000
0.5000 0.0000 0.0000
```

Values from the calculation:
**Crystal system**: cubic
**Energy above the most stable polymorph in this dataset**: 0.00 eV/f.u.
**Theoretical density**: 9.1 g/cm³
**Energy of formation**: 113 kJ/mol of atoms



This record from Alexandria describes a geometry-optimized Sc2OsCl structure. The functional is PBE.

Structure (POSCAR):
```
Sc2OsCl
1.0
3.7359 0.0000 0.0000
0.0000 3.7359 0.0000
0.0000 0.0000 10.5319
Sc Os Cl
4 2 2
direct
0.0000 0.0000 0.0000
0.0000 0.5000 0.2500
0.5000 0.0000 0.7500
0.5000 0.5000 0.5000
0.0000 0.0000 0.5000
0.5000 0.5000 0.0000
0.0000 0.5000 0.7500
0.5000 0.0000 0.2500
```

Values from the calculation:
**Crystal system**: tetragonal
**Energy above the most stable polymorph in this dataset**: 3.07 eV/f.u.
**Energy relative to the elements, uncorrected**: -0.71 eV per formula unit
**Theoretical density**: 7.1 g/cm³



This record from Alexandria describes a geometry-optimized Y2HgSe2 structure. The functional is PBE.

Structure (POSCAR):
```
Y2HgSe2
1.0
8.1590 0.0000 0.0000
0.0000 8.1590 0.0000
0.0000 0.0000 3.6221
Y Hg Se
4 2 4
direct
0.1575 0.3425 0.0000
0.3425 0.8425 0.0000
0.6575 0.1575 0.0000
0.8425 0.6575 0.0000
0.0000 0.0000 0.5000
0.5000 0.5000 0.5000
0.1377 0.6377 0.5000
0.3623 0.1377 0.5000
0.6377 0.8623 0.5000
0.8623 0.3623 0.5000
```

Values from the calculation:
**Crystal system**: tetragonal
**Energy above the most stable polymorph in this dataset**: 0.09 eV/f.u.
**Energy relative to the elements, uncorrected**: -6.01 eV per formula unit
**Theoretical density**: 7.4 g/cm³



This record from Alexandria describes a geometry-optimized Cs3In3PbI8 structure. The functional is PBE.

Structure (POSCAR):
```
Cs3In3PbI8
1.0
5.1045 2.9471 8.9090
-5.1045 2.9471 8.9090
0.0000 -5.8942 8.9090
Cs In Pb I
3 3 1 8
direct
0.0000 0.5000 0.5000
0.5000 0.0000 0.5000
0.5000 0.5000 0.0000
0.0000 0.0000 0.5000
0.0000 0.5000 0.0000
0.5000 0.0000 0.0000
0.5000 0.5000 0.5000
0.2407 0.2407 0.2407
0.2599 0.7237 0.7237
0.2763 0.2763 0.7401
0.2763 0.7401 0.2763
0.7237 0.2599 0.7237
0.7237 0.7237 0.2599
0.7401 0.2763 0.2763
0.7593 0.7593 0.7593
```

Values from the calculation:
**Crystal system**: trigonal
**Energy relative to the elements, uncorrected**: -13.88 eV per formula unit
**Theoretical density**: 4.1 g/cm³



This record from Alexandria describes a geometry-optimized AsPb2W structure. The functional is PBE.

Structure (POSCAR):
```
AsPb2W
1.0
3.3193 0.0000 0.0000
0.0000 3.3193 0.0000
0.0000 0.0000 8.5289
As Pb W
1 2 1
direct
0.0000 0.0000 0.0000
0.0000 0.0000 0.6175
0.5000 0.5000 0.2609
0.5000 0.5000 0.8696
```

Values from the calculation:
**Crystal system**: tetragonal
**Theoretical density**: 11.9 g/cm³
**Energy of formation**: 28 kJ/mol of atoms



This record from Alexandria describes a geometry-optimized Ho6ZnC3 structure. The functional is PBE.

Structure (POSCAR):
```
Ho6ZnC3
1.0
10.6870 0.0000 0.0000
0.0000 3.5815 0.0000
-2.4445 0.0000 10.9738
Ho Zn C
12 2 6
direct
0.0253 0.2500 0.1296
0.1138 0.7500 0.4516
0.1747 0.2500 0.7453
0.2896 0.7500 0.0180
0.3079 0.2500 0.2999
0.4255 0.2500 0.5956
0.5745 0.7500 0.4044
0.6921 0.7500 0.7001
0.7104 0.2500 0.9820
0.8253 0.7500 0.2547
0.8862 0.2500 0.5484
0.9747 0.7500 0.8704
0.4657 0.7500 0.8342
0.5343 0.2500 0.1658
0.0277 0.7500 0.6503
0.1353 0.2500 0.9495
0.3551 0.7500 0.4467
0.6449 0.2500 0.5533
0.8647 0.7500 0.0505
0.9723 0.2500 0.3497
```

Values from the calculation:
**Crystal system**: monoclinic
**Theoretical density**: 8.6 g/cm³
**Energy of formation**: -20 kJ/mol of atoms



This record from Alexandria describes a geometry-optimized LiLaRe2 structure. The functional is PBE.

Structure (POSCAR):
```
LiLaRe2
1.0
3.1369 0.0000 0.0000
0.0000 3.1369 0.0000
0.0000 0.0000 7.8661
Li La Re
1 1 2
direct
0.0000 0.0000 0.0000
0.5000 0.5000 0.6664
0.0000 0.0000 0.3733
0.5000 0.5000 0.2059
```

Values from the calculation:
**Crystal system**: tetragonal
**Energy above the most stable polymorph in this dataset**: 0.00 eV/f.u.
**Theoretical density**: 11.1 g/cm³
**Energy of formation**: 23 kJ/mol of atoms



This record from Alexandria describes a geometry-optimized Cs2SrZrS structure. The functional is PBE.

Structure (POSCAR):
```
Cs2SrZrS
1.0
6.7810 0.0000 0.0000
0.0000 6.7810 0.0000
0.0000 0.0000 5.6834
Cs Sr Zr S
2 1 1 1
direct
0.0000 0.5000 0.0000
0.5000 0.0000 0.0000
0.0000 0.0000 0.5000
0.5000 0.5000 0.5000
0.0000 0.0000 0.0000
```

Values from the calculation:
**Crystal system**: tetragonal
**Energy relative to the elements, uncorrected**: 1.09 eV per formula unit
**Theoretical density**: 3.0 g/cm³



This record from Alexandria describes a geometry-optimized InRePd2 structure. The functional is PBE.

Structure (POSCAR):
```
InRePd2
1.0
3.9681 0.0000 0.0000
0.0000 3.9681 0.0000
0.0000 0.0000 18.3651
In Re Pd
4 4 8
direct
0.0000 0.0000 0.0000
0.0000 0.5000 0.2500
0.5000 0.0000 0.7500
0.5000 0.5000 0.5000
0.0000 0.0000 0.5000
0.0000 0.5000 0.7500
0.5000 0.0000 0.2500
0.5000 0.5000 0.0000
0.2374 0.2500 0.6250
0.2500 0.7374 0.8750
0.2500 0.7626 0.3750
0.2626 0.2500 0.1250
0.7374 0.7500 0.1250
0.7500 0.2374 0.3750
0.7500 0.2626 0.8750
0.7626 0.7500 0.6250
```

Values from the calculation:
**Crystal system**: tetragonal
**Theoretical density**: 11.8 g/cm³
**Energy of formation**: 55 kJ/mol of atoms



This record from Alexandria describes a geometry-optimized YTlHg2 structure. The functional is PBE.

Structure (POSCAR):
```
YTlHg2
1.0
3.7861 0.0000 0.0000
-1.8931 3.2789 0.0000
0.0000 0.0000 27.3588
Y Tl Hg
3 3 6
direct
0.0000 0.0000 0.0000
0.3333 0.6667 0.6667
0.6667 0.3333 0.3333
0.0000 0.0000 0.8327
0.3333 0.6667 0.4994
0.6667 0.3333 0.1660
0.0000 0.0000 0.4148
0.0000 0.0000 0.5854
0.3333 0.6667 0.0815
0.3333 0.6667 0.2521
0.6667 0.3333 0.7481
0.6667 0.3333 0.9187
```

Values from the calculation:
**Crystal system**: trigonal
**Theoretical density**: 10.2 g/cm³
**Energy of formation**: -18 kJ/mol of atoms



This record from Alexandria describes a geometry-optimized AcSnBPt4 structure. The functional is PBE.

Structure (POSCAR):
```
AcSnBPt4
1.0
0.0000 5.0615 5.0615
5.0615 0.0000 5.0615
5.0615 5.0615 0.0000
Ac Sn B Pt
1 1 1 4
direct
0.0000 0.0000 0.0000
0.2500 0.2500 0.2500
0.5000 0.5000 0.5000
0.3909 0.3909 0.3909
0.3909 0.3909 0.8272
0.3909 0.8272 0.3909
0.8272 0.3909 0.3909
```

Values from the calculation:
**Crystal system**: cubic
**Theoretical density**: 7.3 g/cm³
**Energy of formation**: 58 kJ/mol of atoms



This record from Alexandria describes a geometry-optimized NdTmPu4 structure. The functional is PBE.

Structure (POSCAR):
```
NdTmPu4
1.0
0.0000 4.3749 4.3749
4.3749 0.0000 4.3749
4.3749 4.3749 0.0000
Nd Tm Pu
1 1 4
direct
0.0000 0.0000 0.0000
0.7500 0.7500 0.7500
0.3752 0.3752 0.3752
0.3752 0.3752 0.8745
0.3752 0.8745 0.3752
0.8745 0.3752 0.3752
```

Values from the calculation:
**Crystal system**: cubic
**Theoretical density**: 12.8 g/cm³
**Energy of formation**: 23 kJ/mol of atoms



This record from Alexandria describes a geometry-optimized InAg2Te structure. The functional is PBE.

Structure (POSCAR):
```
InAg2Te
1.0
4.8113 0.0000 0.0000
0.0000 4.8113 0.0000
0.0000 0.0000 8.1272
In Ag Te
2 4 2
direct
0.0000 0.0000 0.0000
0.5000 0.5000 0.5000
0.0000 0.5000 0.2500
0.0000 0.5000 0.7500
0.5000 0.0000 0.2500
0.5000 0.0000 0.7500
0.0000 0.0000 0.5000
0.5000 0.5000 0.0000
```

Values from the calculation:
**Crystal system**: tetragonal
**Energy above the most stable polymorph in this dataset**: 0.25 eV/f.u.
**Energy relative to the elements, uncorrected**: 0.28 eV per formula unit
**Theoretical density**: 8.1 g/cm³



This record from Alexandria describes a geometry-optimized LaSm6Dy8 structure. The functional is PBE.

Structure (POSCAR):
```
LaSm6Dy8
1.0
4.5557 2.6302 6.9464
-4.5557 2.6302 6.9464
0.0000 -5.2604 6.9464
La Sm Dy
1 6 8
direct
0.0000 0.0000 0.0000
0.1053 0.5364 0.2307
0.2307 0.1053 0.5364
0.4636 0.7693 0.8947
0.5364 0.2307 0.1053
0.7693 0.8947 0.4636
0.8947 0.4636 0.7693
0.1117 0.7186 0.7451
0.2549 0.8883 0.2814
0.2814 0.2549 0.8883
0.4233 0.4233 0.4233
0.5767 0.5767 0.5767
0.7186 0.7451 0.1117
0.7451 0.1117 0.7186
0.8883 0.2814 0.2549
```

Values from the calculation:
**Crystal system**: trigonal
**Theoretical density**: 7.8 g/cm³
**Energy of formation**: 12 kJ/mol of atoms



This record from Alexandria describes a geometry-optimized CsSb2Rh structure. The functional is PBE.

Structure (POSCAR):
```
CsSb2Rh
1.0
4.3923 0.0000 0.0000
-2.1962 3.8039 0.0000
0.0000 0.0000 22.7625
Cs Sb Rh
3 6 3
direct
0.0000 0.0000 0.0000
0.3333 0.6667 0.6667
0.6667 0.3333 0.3333
0.0000 0.0000 0.2091
0.0000 0.0000 0.7909
0.3333 0.6667 0.4576
0.3333 0.6667 0.8757
0.6667 0.3333 0.1243
0.6667 0.3333 0.5424
0.0000 0.0000 0.5000
0.3333 0.6667 0.1667
0.6667 0.3333 0.8333
```

Values from the calculation:
**Crystal system**: trigonal
**Energy above the most stable polymorph in this dataset**: 0.00 eV/f.u.
**Energy relative to the elements, uncorrected**: -1.60 eV per formula unit
**Theoretical density**: 6.3 g/cm³



This record from Alexandria describes a geometry-optimized LaCoGeOs2 structure. The functional is PBE.

Structure (POSCAR):
```
LaCoGeOs2
1.0
4.9166 0.0000 0.0000
0.0000 4.9166 0.0000
0.0000 0.0000 4.5578
La Co Ge Os
1 1 1 2
direct
0.0000 0.0000 0.0000
0.0000 0.0000 0.5000
0.5000 0.5000 0.5000
0.0000 0.5000 0.0000
0.5000 0.0000 0.0000
```

Values from the calculation:
**Crystal system**: tetragonal
**Theoretical density**: 9.8 g/cm³
**Energy of formation**: 225 kJ/mol of atoms



This record from Alexandria describes a geometry-optimized Zr2HIr6 structure. The functional is PBE.

Structure (POSCAR):
```
Zr2HIr6
1.0
-2.8385 2.8385 3.9919
2.8385 -2.8385 3.9919
2.8385 2.8385 -3.9919
Zr H Ir
2 1 6
direct
0.2500 0.7500 0.5000
0.7500 0.2500 0.5000
0.0000 0.0000 0.0000
0.2530 0.2530 0.0000
0.2529 0.2529 0.5058
0.2529 0.7471 0.0000
0.7471 0.2529 0.0000
0.7470 0.7470 0.0000
0.7471 0.7471 0.4942
```

Values from the calculation:
**Energy**: -8.808 eV/atom
**Crystal system**: tetragonal
**Theoretical density**: 17.3 g/cm³